Record 1
In2MoPb: single point on PBEsol structure, SCAN.

abc: 4.815 3.202 11.136
angles: 90.00 90.00 90.00
Space group Amm2 (No. 38)
Symmetry-distinct sites (fractional):
In 0.000 0.000 0.000 [2 per cell]
In 0.500 0.000 0.406 [2 per cell]
Mo 0.000 0.000 0.267 [2 per cell]
Pb 0.500 0.000 0.672 [2 per cell]

Output
* formation energy: 187 kJ/mol of formula units
* N(E_F): 3.8 states/eV/cell
* calculated total energy: -43.876 eV per atom
* calculated density: 10.30 g/cm3
* magnetic moment: 0.0 μB per formula unit

***

Record 2
InMo2Pb: single point on PBEsol structure, SCAN.

abc: 3.1811 3.1811 27.6664
angles: 90.00 90.00 120.00
Space group R3m (No. 160, hexagonal axes)
Symmetry-distinct sites (fractional):
In 0.0000 0.0000 0.0000 [3 per cell]
Mo 0.0000 0.0000 0.4787 [3 per cell]
Mo 0.0000 0.0000 0.7500 [3 per cell]
Pb 0.0000 0.0000 0.2332 [3 per cell]

Output
* formation energy: 134 kJ/mol of formula units
* N(E_F): 5.1 states/eV/cell
* calculated total energy: -44.386 eV per atom
* calculated density: 10.56 g/cm3
* magnetic moment: 0.0 μB per formula unit

***

Record 3
In3MoPd: single point on PBEsol structure, SCAN.

abc: 4.997 4.997 4.997
angles: 90.00 90.00 90.00
Space group Pm-3m (No. 221)
Symmetry-distinct sites (fractional):
In 0.000 0.000 0.500 [3 per cell]
Mo 0.500 0.500 0.500 [1 per cell]
Pd 0.000 0.000 0.000 [1 per cell]

Output
* formation energy: 314 kJ/mol of formula units
* N(E_F): 2.2 states/eV/cell
* calculated total energy: -32.914 eV per atom
* calculated density: 7.28 g/cm3
* magnetic moment: 4.4 μB per formula unit

***

Record 4
ScInMo2Pd: single point on PBEsol structure, SCAN.

abc: 4.728 4.728 4.809
angles: 90.00 90.00 90.00
Space group P4/mmm (No. 123)
Symmetry-distinct sites (fractional):
Sc 0.000 0.000 0.000 [1 per cell]
In 0.500 0.500 0.000 [1 per cell]
Mo 0.000 0.500 0.500 [2 per cell]
Pd 0.000 0.000 0.500 [1 per cell]

Output
* formation energy: 502 kJ/mol of formula units
* N(E_F): 4.6 states/eV/cell
* calculated total energy: -28.992 eV per atom
* calculated density: 7.07 g/cm3
* magnetic moment: 0.0 μB per formula unit

***

Record 5
InMo2Pt2: single point on PBEsol structure, SCAN.

abc: 3.564 3.564 13.537
angles: 90.00 90.00 90.00
Space group I4/mmm (No. 139)
Symmetry-distinct sites (fractional):
In 0.000 0.000 0.000 [2 per cell]
Mo 0.000 0.500 0.250 [4 per cell]
Pt 0.000 0.000 0.401 [4 per cell]

Output
* formation energy: -25 kJ/mol of formula units
* N(E_F): 5.7 states/eV/cell
* calculated total energy: -48.761 eV per atom
* calculated density: 13.46 g/cm3
* magnetic moment: 0.0 μB per formula unit

***

Record 6
Rb3InMo: single point on PBEsol structure, SCAN.

abc: 6.806 6.806 6.806
angles: 90.00 90.00 90.00
Space group Pm-3m (No. 221)
Symmetry-distinct sites (fractional):
Rb 0.000 0.000 0.500 [3 per cell]
In 0.000 0.000 0.000 [1 per cell]
Mo 0.500 0.500 0.500 [1 per cell]

Output
* formation energy: 532 kJ/mol of formula units
* N(E_F): 3.6 states/eV/cell
* calculated total energy: -24.995 eV per atom
* calculated density: 2.46 g/cm3
* magnetic moment: 5.8 μB per formula unit